This record from Alexandria describes a geometry-optimized CoRu2Pt structure. The functional is GGA-PBE.

Its calculated formation energy is 125.4 meV per atom. The volume is 13.56 Å³ per atom. The energy above the lowest structure with this stoichiometry comes out at 0.307 eV per formula unit. Its crystal system is tetragonal.

The structure belongs to space group P4/mmm (No. 123); the cell edges are 2.6921, 2.6921 and 7.4813 Å and the angles 90.00°, 90.00° and 90.00°. The distinct sites, in fractional coordinates, are Co at (0.0000, 0.0000, 0.0000), Ru at (0.5000, 0.5000, 0.2300) and Pt at (0.0000, 0.0000, 0.5000).